[1]
A plane-wave DFT calculation with PBE was carried out for crystalline Pu5Mg3Pb3 at its relaxed geometry.

Unit cell a=3.1775 b=10.6997 c=10.6997 alpha=120.00 beta=90.00 gamma=90.00
Closest atoms and distances in Å follow each position.
Sites, in units of the cell vectors:
Pu 0.5000 0.6667 0.3333  5 Pu 3.18-3.50
Pu 0.5000 0.3333 0.6667  5 Pu 3.18-3.50
Pu 0.5000 0.3469 0.0000  4 Pu 3.18-3.50, 2 Mg 3.22, 2 Pb 3.24
Pu 0.5000 0.6531 0.6531  4 Pu 3.18-3.50, 2 Mg 3.22, 2 Pb 3.24
Pu 0.5000 0.0000 0.3469  4 Pu 3.18-3.50, 2 Mg 3.22, 2 Pb 3.24
Mg 0.5000 0.8449 0.0000  4 Mg 2.87-3.18, 2 Pb 2.97
Mg 0.5000 0.1551 0.1551  4 Mg 2.87-3.18, 2 Pb 2.97
Mg 0.5000 0.0000 0.8449  4 Mg 2.87-3.18, 2 Pb 2.97
Pb 0.0000 0.6106 0.0000  2 Mg 2.97, 2 Pb 3.18, 2 Pu 3.24
Pb 0.0000 0.0000 0.6106  2 Mg 2.97, 2 Pb 3.18, 2 Pu 3.24
Pb 0.0000 0.3894 0.3894  2 Mg 2.97, 2 Pb 3.18, 2 Pu 3.24

Properties
Formation energy from the elements = 24 kJ/mol of atoms
Total DFT energy (no corrections) = -7.7089 eV/atom

***

[2]
A plane-wave DFT calculation with PBE was carried out for crystalline Tl3SiOs at its relaxed geometry.

Unit cell a=5.1943 b=5.1943 c=5.1943 alpha=90.00 beta=90.00 gamma=90.00
Closest atoms and distances in Å follow each position.
Sites, in units of the cell vectors:
Tl 0.0000 0.5000 0.0000  2 Si 2.60
Tl 0.0000 0.0000 0.5000  2 Si 2.60
Tl 0.5000 0.0000 0.0000  2 Si 2.60
Os 0.5000 0.5000 0.5000  12 Tl 3.67
Si 0.0000 0.0000 0.0000  6 Tl 2.60

Properties
Relative energy among the computed polymorphs = 2.71 eV/f.u.
Total DFT energy (no corrections) = -3.2419 eV/atom
Formation energy from raw total energies = 1.508 eV/atom

***

[3]
A plane-wave DFT calculation with PBE was carried out for crystalline InSb2Rh at its relaxed geometry.

Unit cell a=3.2650 b=3.2650 c=8.5164 alpha=90.00 beta=90.00 gamma=90.00
Closest atoms and distances in Å follow each position.
Sites, in units of the cell vectors:
In 0.0000 0.0000 0.5473  4 Rh 2.88
Sb 0.0000 0.0000 0.9316  4 Rh 2.78
Sb 0.5000 0.5000 0.2715  4 Sb 3.27, 4 In 3.29
Rh 0.5000 0.5000 0.7496  4 Sb 2.78, 4 In 2.88

Properties
Total DFT energy (no corrections) = -4.6814 eV/atom
Formation energy from raw total energies = -0.098 eV/atom

***

[4]
A plane-wave DFT calculation with PBE was carried out for crystalline ZnNi3Sn at its relaxed geometry.

Unit cell a=4.3325 b=4.3325 c=4.3325 alpha=90.00 beta=90.00 gamma=90.00
Closest atoms and distances in Å follow each position.
Sites, in units of the cell vectors:
Ni 0.0000 0.5000 0.0000  2 Zn 2.17
Ni 0.0000 0.0000 0.5000  2 Zn 2.17
Ni 0.5000 0.0000 0.0000  2 Zn 2.17
Zn 0.0000 0.0000 0.0000  6 Ni 2.17
Sn 0.5000 0.5000 0.5000  12 Ni 3.06

Properties
Relative energy among the computed polymorphs = 2.31 eV/f.u.
Formation energy from the elements = 54 kJ/mol of atoms
Total DFT energy (no corrections) = -3.9643 eV/atom

***

[5]
A plane-wave DFT calculation with PBE was carried out for crystalline Ca3RhBr at its relaxed geometry.

Unit cell a=5.5153 b=5.5153 c=5.5153 alpha=90.00 beta=90.00 gamma=90.00
Closest atoms and distances in Å follow each position.
Sites, in units of the cell vectors:
Ca 0.0000 0.5000 0.0000  2 Rh 2.76
Ca 0.0000 0.0000 0.5000  2 Rh 2.76
Ca 0.5000 0.0000 0.0000  2 Rh 2.76
Rh 0.0000 0.0000 0.0000  6 Ca 2.76
Br 0.5000 0.5000 0.5000  12 Ca 3.90

Properties
Relative energy among the computed polymorphs = 0.00 eV/f.u.
Total DFT energy (no corrections) = -3.5487 eV/atom
Formation energy from raw total energies = -0.543 eV/atom

***

[6]
A plane-wave DFT calculation with PBE was carried out for crystalline TeAsOsI2 at its relaxed geometry.

Unit cell a=5.5172 b=5.5172 c=5.6452 alpha=90.00 beta=90.00 gamma=90.00
Closest atoms and distances in Å follow each position.
Sites, in units of the cell vectors:
I 0.0000 0.5000 0.0000  2 As 2.76
I 0.5000 0.0000 0.0000  2 As 2.76
As 0.0000 0.0000 0.0000  4 I 2.76, 2 Te 2.82
Te 0.0000 0.0000 0.5000  2 As 2.82
Os 0.5000 0.5000 0.5000  4 Te 3.90, 8 I 3.95

Properties
Relative energy among the computed polymorphs = 3.11 eV/f.u.
Total DFT energy (no corrections) = -2.8762 eV/atom
Formation energy from raw total energies = 1.548 eV/atom

***

| no. | M_tot (Bohr magnetons per cell) |
| --- | --- |
| 1 | 32.8 |
| 2 | 2.2 |
| 3 | 0.0 |
| 4 | 0.0 |
| 5 | 0.0 |
| 6 | 4.4 |